[1]
Computed, not measured: a geometry-optimized Tb4TlCu2 structure at the GGA-PBE level of DFT.

a b c (Å): 9.5438 9.5438 9.5438
angles (deg): 29.64 29.64 29.64
Positions (direct):
Tb  0.1153  0.1153  0.1153
Tb  0.2971  0.2971  0.2971
Tb  0.7029  0.7029  0.7029
Tb  0.8847  0.8847  0.8847
Tl  0.5000  0.5000  0.5000
Cu  0.4000  0.4000  0.4000
Cu  0.6000  0.6000  0.6000

Results
Formation energy   -0.2 eV per formula unit
Fermi-level density of states   1.221 states/eV/atom


[2]
Computed, not measured: a geometry-optimized Tb3TlCu2 structure at the GGA-PBE level of DFT.

a b c (Å): 3.5113 3.5113 11.3517
angles (deg): 90.00 90.00 90.00
Positions (direct):
Tb  0.0000  0.0000  0.0000
Tb  0.0000  0.0000  0.3058
Tb  0.0000  0.0000  0.6942
Tl  0.5000  0.5000  0.5000
Cu  0.5000  0.5000  0.1526
Cu  0.5000  0.5000  0.8474

Results
Formation energy   -1.6 eV per formula unit
Fermi-level density of states   0.602 states/eV/atom


[3]
Computed, not measured: a geometry-optimized Tb3Tl2Cu2 structure at the GGA-PBE level of DFT.

a b c (Å): 4.2239 21.5232 3.6677
angles (deg): 90.00 90.00 90.00
Positions (direct):
Tb  0.0000  0.0000  0.0000
Tb  0.0000  0.1736  0.0000
Tb  0.0000  0.8264  0.0000
Tb  0.5000  0.3264  0.0000
Tb  0.5000  0.5000  0.0000
Tb  0.5000  0.6736  0.0000
Tl  0.0000  0.4154  0.5000
Tl  0.0000  0.5846  0.5000
Tl  0.5000  0.0846  0.5000
Tl  0.5000  0.9154  0.5000
Cu  0.0000  0.2803  0.5000
Cu  0.0000  0.7197  0.5000
Cu  0.5000  0.2197  0.5000
Cu  0.5000  0.7803  0.5000

Results
Formation energy   -2.2 eV per formula unit
Fermi-level density of states   0.889 states/eV/atom


[4]
Computed, not measured: a geometry-optimized Tb3TlCu8 structure at the GGA-PBE level of DFT.

a b c (Å): 9.0818 9.0818 9.0818
angles (deg): 33.39 33.39 33.39
Positions (direct):
Tb  0.0000  0.0000  0.0000
Tb  0.1250  0.1250  0.1250
Tb  0.6177  0.6177  0.6177
Tl  0.4935  0.4935  0.4935
Cu  0.0559  0.5597  0.5597
Cu  0.0580  0.0580  0.5667
Cu  0.0580  0.5667  0.0580
Cu  0.3094  0.3094  0.3094
Cu  0.5597  0.0559  0.5597
Cu  0.5597  0.5597  0.0559
Cu  0.5667  0.0580  0.0580
Cu  0.8103  0.8103  0.8103

Results
Formation energy   -2.0 eV per formula unit
Fermi-level density of states   0.612 states/eV/atom


[5]
Computed, not measured: a geometry-optimized Tb6TlCu2 structure at the GGA-PBE level of DFT.

a b c (Å): 8.5804 8.5804 8.5804
angles (deg): 113.41 109.27 105.83
Positions (direct):
Tb  0.0377  0.2370  0.8007
Tb  0.1849  0.2844  0.4694
Tb  0.1849  0.7156  0.9005
Tb  0.3217  0.0157  0.6941
Tb  0.3217  0.6276  0.3059
Tb  0.4363  0.2370  0.1993
Tb  0.5637  0.7630  0.8007
Tb  0.6783  0.3724  0.6941
Tb  0.6783  0.9843  0.3059
Tb  0.8151  0.2844  0.0995
Tb  0.8151  0.7156  0.5306
Tb  0.9623  0.7630  0.1993
Tl  0.0000  0.0000  0.0000
Tl  0.5000  0.5000  0.0000
Cu  0.1188  0.6188  0.5000
Cu  0.3508  0.0000  0.3508
Cu  0.6492  0.0000  0.6492
Cu  0.8812  0.3812  0.5000

Results
Formation energy   -1.7 eV per formula unit
Fermi-level density of states   0.953 states/eV/atom


[6]
Computed, not measured: a geometry-optimized Tb12TlCu6 structure at the GGA-PBE level of DFT.

a b c (Å): 8.5863 8.5863 8.5863
angles (deg): 109.47 109.47 109.47
Positions (direct):
Tb  0.1092  0.8111  0.2980
Tb  0.1889  0.2980  0.4869
Tb  0.1889  0.7020  0.8908
Tb  0.2980  0.1092  0.8111
Tb  0.2980  0.4869  0.1889
Tb  0.4869  0.1889  0.2980
Tb  0.5131  0.8111  0.7020
Tb  0.7020  0.5131  0.8111
Tb  0.7020  0.8908  0.1889
Tb  0.8111  0.2980  0.1092
Tb  0.8111  0.7020  0.5131
Tb  0.8908  0.1889  0.7020
Tl  0.0000  0.0000  0.0000
Cu  0.1235  0.6235  0.5000
Cu  0.3765  0.5000  0.8765
Cu  0.5000  0.1235  0.6235
Cu  0.5000  0.8765  0.3765
Cu  0.6235  0.5000  0.1235
Cu  0.8765  0.3765  0.5000

Results
Formation energy   -3.5 eV per formula unit
Fermi-level density of states   0.731 states/eV/atom


[7]
Computed, not measured: a geometry-optimized Tb4TlCu3 structure at the GGA-PBE level of DFT.

a b c (Å): 3.7333 4.6003 10.9750
angles (deg): 90.00 90.00 90.00
Positions (direct):
Tb  0.0000  0.0000  0.0000
Tb  0.0000  0.5000  0.2639
Tb  0.5000  0.0000  0.4634
Tb  0.5000  0.5000  0.7895
Tl  0.0000  0.0000  0.7004
Cu  0.0000  0.5000  0.5410
Cu  0.5000  0.0000  0.1968
Cu  0.5000  0.5000  0.0623

Results
Relative energy among the computed polymorphs   23.2 meV/atom
Formation energy   -1.7 eV per formula unit
Fermi-level density of states   1.066 states/eV/atom


[8]
Computed, not measured: a geometry-optimized Tb3Tl2Cu structure at the GGA-PBE level of DFT.

a b c (Å): 8.2674 8.2674 6.6246
angles (deg): 102.29 102.29 45.18
Positions (direct):
Tb  0.1389  0.8611  0.7500
Tb  0.2436  0.4408  0.4062
Tb  0.4408  0.2436  0.9062
Tb  0.5592  0.7564  0.0938
Tb  0.7564  0.5592  0.5938
Tb  0.8611  0.1389  0.2500
Tl  0.0573  0.2729  0.0454
Tl  0.2729  0.0573  0.5454
Tl  0.7271  0.9427  0.4546
Tl  0.9427  0.7271  0.9546
Cu  0.3620  0.6380  0.2500
Cu  0.6380  0.3620  0.7500

Results
Formation energy   -1.2 eV per formula unit
Fermi-level density of states   0.785 states/eV/atom


[9]
Computed, not measured: a geometry-optimized TbTlCu2 structure at the GGA-PBE level of DFT.

a b c (Å): 6.7098 6.7098 6.7098
angles (deg): 90.00 90.00 90.00
Positions (direct):
Tb  0.0000  0.0000  0.0000
Tb  0.0000  0.5000  0.5000
Tb  0.5000  0.0000  0.5000
Tb  0.5000  0.5000  0.0000
Tl  0.0000  0.0000  0.5000
Tl  0.0000  0.5000  0.0000
Tl  0.5000  0.0000  0.0000
Tl  0.5000  0.5000  0.5000
Cu  0.2500  0.2500  0.2500
Cu  0.2500  0.2500  0.7500
Cu  0.2500  0.7500  0.2500
Cu  0.2500  0.7500  0.7500
Cu  0.7500  0.2500  0.2500
Cu  0.7500  0.2500  0.7500
Cu  0.7500  0.7500  0.2500
Cu  0.7500  0.7500  0.7500

Results
Formation energy   -0.7 eV per formula unit
Fermi-level density of states   0.557 states/eV/atom


[10]
Computed, not measured: a geometry-optimized Tb4TlCu3 structure at the GGA-PBE level of DFT.

a b c (Å): 8.7686 8.7686 8.7686
angles (deg): 33.51 33.51 33.51
Positions (direct):
Tb  0.1175  0.1175  0.1175
Tb  0.3687  0.3687  0.3687
Tb  0.6313  0.6313  0.6313
Tb  0.8825  0.8825  0.8825
Tl  0.5000  0.5000  0.5000
Cu  0.0000  0.0000  0.0000
Cu  0.2472  0.2472  0.2472
Cu  0.7528  0.7528  0.7528

Results
Relative energy among the computed polymorphs   0.0 meV/atom
Formation energy   -1.9 eV per formula unit
Fermi-level density of states   0.478 states/eV/atom


[11]
Computed, not measured: a geometry-optimized Tb4Tl5Cu2 structure at the GGA-PBE level of DFT.

a b c (Å): 7.9194 3.6895 9.5983
angles (deg): 90.00 93.25 90.00
Positions (direct):
Tb  0.1974  0.0000  0.3486
Tb  0.2159  0.0000  0.9253
Tb  0.7841  0.0000  0.0747
Tb  0.8026  0.0000  0.6514
Tl  0.1432  0.5000  0.6386
Tl  0.4505  0.5000  0.1619
Tl  0.5000  0.5000  0.5000
Tl  0.5495  0.5000  0.8381
Tl  0.8568  0.5000  0.3614
Cu  0.0711  0.5000  0.1238
Cu  0.9289  0.5000  0.8762

Results
Formation energy   -3.0 eV per formula unit
Fermi-level density of states   0.714 states/eV/atom


[12]
Computed, not measured: a geometry-optimized Tb3Tl3Cu2 structure at the GGA-PBE level of DFT.

a b c (Å): 4.5421 4.8290 9.1632
angles (deg): 74.79 75.79 89.94
Positions (direct):
Tb  0.0000  0.0000  0.0000
Tb  0.1518  0.6516  0.6957
Tb  0.8482  0.3484  0.3043
Tl  0.3510  0.8529  0.2946
Tl  0.5000  0.5000  0.0000
Tl  0.6490  0.1471  0.7054
Cu  0.2466  0.2428  0.5121
Cu  0.7534  0.7572  0.4879

Results
Formation energy   -2.0 eV per formula unit
Fermi-level density of states   0.596 states/eV/atom


- Which of these has the highest formation energy?
  Tb4TlCu2


Repeat the twelfth record exactly.
Computed, not measured: a geometry-optimized Tb3Tl3Cu2 structure at the GGA-PBE level of DFT.

a b c (Å): 4.5421 4.8290 9.1632
angles (deg): 74.79 75.79 89.94
Positions (direct):
Tb  0.0000  0.0000  0.0000
Tb  0.1518  0.6516  0.6957
Tb  0.8482  0.3484  0.3043
Tl  0.3510  0.8529  0.2946
Tl  0.5000  0.5000  0.0000
Tl  0.6490  0.1471  0.7054
Cu  0.2466  0.2428  0.5121
Cu  0.7534  0.7572  0.4879

Results
Formation energy   -2.0 eV per formula unit
Fermi-level density of states   0.596 states/eV/atom